# Rb4NaTh3Te8 (GGA-PBE, relaxed)
# raw formation energy = -1187 meV/atom
data_Rb4NaTh3Te8
_cell_length_a 9.2992
_cell_length_b 9.2992
_cell_length_c 25.6377
_cell_angle_alpha 90.00
_cell_angle_beta 90.00
_cell_angle_gamma 120.00
_symmetry_space_group_name_H-M 'R -3 m'
_symmetry_Int_Tables_number 166
_symmetry_space_group_name_Hall '-R 3 2"'
loop_
_atom_site_label
_atom_site_type_symbol
_atom_site_fract_x
_atom_site_fract_y
_atom_site_fract_z
Rb1 Rb 0.0000 0.0000 0.0000
Rb2 Rb 0.0000 0.5000 0.0000
Na1 Na 0.0000 0.0000 0.5000
Th1 Th 0.0000 0.5000 0.5000
Te1 Te 0.0000 0.0000 0.2354
Te2 Te 0.0120 0.5060 0.7657

***

# CaCo2W (GGA-PBE, relaxed)
# energy relative to the elements = 3.065 eV/f.u.
# polymorph energy (0 for the lowest one) = 2.30 eV per formula unit
data_CaCo2W
_cell_length_a 3.677
_cell_length_b 3.677
_cell_length_c 8.959
_cell_angle_alpha 90.00
_cell_angle_beta 90.00
_cell_angle_gamma 90.00
_symmetry_space_group_name_H-M 'I -4 m 2'
_symmetry_Int_Tables_number 119
_symmetry_space_group_name_Hall 'I -4 -2'
loop_
_atom_site_label
_atom_site_type_symbol
_atom_site_fract_x
_atom_site_fract_y
_atom_site_fract_z
Ca1 Ca 0.000 0.000 0.000
Co1 Co 0.000 0.000 0.500
Co2 Co 0.000 0.500 0.750
W1 W 0.000 0.500 0.250

***

# CrPbCl2 (GGA-PBE, relaxed)
# raw formation energy = -529 meV/atom
# polymorph energy (0 for the lowest one) = 0.00 eV per formula unit
data_CrPbCl2
_cell_length_a 3.5212
_cell_length_b 3.5212
_cell_length_c 29.5838
_cell_angle_alpha 90.00
_cell_angle_beta 90.00
_cell_angle_gamma 120.00
_symmetry_space_group_name_H-M 'R -3 m'
_symmetry_Int_Tables_number 166
_symmetry_space_group_name_Hall '-R 3 2"'
loop_
_atom_site_label
_atom_site_type_symbol
_atom_site_fract_x
_atom_site_fract_y
_atom_site_fract_z
Cr1 Cr 0.0000 0.0000 0.0000
Pb1 Pb 0.0000 0.0000 0.5000
Cl1 Cl 0.0000 0.0000 0.2837

***

# Rb2CdHg3 (GGA-PBE, relaxed)
# energy relative to the elements = -1.288 eV/f.u.
data_Rb2CdHg3
_cell_length_a 12.605
_cell_length_b 5.420
_cell_length_c 8.636
_cell_angle_alpha 90.00
_cell_angle_beta 132.58
_cell_angle_gamma 90.00
_symmetry_space_group_name_H-M 'C 1 m 1'
_symmetry_Int_Tables_number 8
_symmetry_space_group_name_Hall 'C -2y'
loop_
_atom_site_label
_atom_site_type_symbol
_atom_site_fract_x
_atom_site_fract_y
_atom_site_fract_z
Rb1 Rb 0.000 0.000 0.000
Rb2 Rb 0.112 0.000 0.619
Cd1 Cd 0.223 0.500 0.403
Hg1 Hg 0.219 0.500 0.037
Hg2 Hg 0.387 0.000 0.577
Hg3 Hg 0.401 0.000 0.214

***

# Tb3Dy2Tm6Pu (GGA-PBE, relaxed)
# energy relative to the elements = 0.502 eV/f.u.
data_Tb3Dy2Tm6Pu
_cell_length_a 6.074
_cell_length_b 10.521
_cell_length_c 11.559
_cell_angle_alpha 90.00
_cell_angle_beta 100.10
_cell_angle_gamma 90.00
_symmetry_space_group_name_H-M 'C 1 2/m 1'
_symmetry_Int_Tables_number 12
_symmetry_space_group_name_Hall '-C 2y'
loop_
_atom_site_label
_atom_site_type_symbol
_atom_site_fract_x
_atom_site_fract_y
_atom_site_fract_z
Tb1 Tb 0.000 0.000 0.000
Tb2 Tb 0.000 0.333 0.000
Dy1 Dy 0.000 0.167 0.500
Tm1 Tm 0.247 0.335 0.748
Tm2 Tm 0.247 0.500 0.252
Pu1 Pu 0.000 0.500 0.500

***

# HgBi3Se4 (GGA-PBE, relaxed)
# raw formation energy = -178 meV/atom
data_HgBi3Se4
_cell_length_a 5.943
_cell_length_b 9.652
_cell_length_c 8.628
_cell_angle_alpha 90.00
_cell_angle_beta 90.00
_cell_angle_gamma 90.00
_symmetry_space_group_name_H-M 'P m m n'
_symmetry_Int_Tables_number 59
loop_
_symmetry_equiv_pos_as_xyz
'x,y,z'
'-x,-y,-z'
'-x+1/2,-y+1/2,z'
'x+1/2,y+1/2,-z'
'x+1/2,-y,-z'
'-x+1/2,y,z'
'-x,y+1/2,-z'
'x,-y+1/2,z'
loop_
_atom_site_label
_atom_site_type_symbol
_atom_site_fract_x
_atom_site_fract_y
_atom_site_fract_z
Hg1 Hg 0.250 0.250 0.063
Bi1 Bi 0.250 0.575 0.652
Bi2 Bi 0.250 0.750 0.292
Se1 Se 0.250 0.054 0.333
Se2 Se 0.250 0.250 0.744
Se3 Se 0.250 0.750 0.929

***

# KAg2Se (GGA-PBE, relaxed)
# raw formation energy = -104 meV/atom
data_KAg2Se
_cell_length_a 3.652
_cell_length_b 3.652
_cell_length_c 7.527
_cell_angle_alpha 90.00
_cell_angle_beta 90.00
_cell_angle_gamma 90.00
_symmetry_space_group_name_H-M 'P 4 m m'
_symmetry_Int_Tables_number 99
_symmetry_space_group_name_Hall 'P 4 -2'
loop_
_atom_site_label
_atom_site_type_symbol
_atom_site_fract_x
_atom_site_fract_y
_atom_site_fract_z
K1 K 0.000 0.000 0.000
Ag1 Ag 0.000 0.000 0.470
Ag2 Ag 0.500 0.500 0.648
Se1 Se 0.500 0.500 0.284

***

# Ca2AlCo (GGA-PBE, relaxed)
# energy relative to the elements = 1.445 eV/f.u.
data_Ca2AlCo
_cell_length_a 3.4988
_cell_length_b 3.4988
_cell_length_c 27.5172
_cell_angle_alpha 90.00
_cell_angle_beta 90.00
_cell_angle_gamma 120.00
_symmetry_space_group_name_H-M 'R -3 m'
_symmetry_Int_Tables_number 166
_symmetry_space_group_name_Hall '-R 3 2"'
loop_
_atom_site_label
_atom_site_type_symbol
_atom_site_fract_x
_atom_site_fract_y
_atom_site_fract_z
Ca1 Ca 0.0000 0.0000 0.2392
Al1 Al 0.0000 0.0000 0.0000
Co1 Co 0.0000 0.0000 0.5000